# LiBeFe

An optimized crystal structure of LiBeFe (PBE, Alexandria).

size of the total moment	0.94	μB per cell
polymorph energy (0 for the lowest one)	0	meV/atom
DFT total energy	-4.5931	eV/atom
DFT formation energy	0.11	eV per atom

Cell: 2.5510 2.5510 10.4395 Å, 90.00 90.00 90.00°
Last column: nearest neighbours and their distance in Å.
Space group P4mm (No. 99)
Symmetry-distinct sites (fractional):
Li: 0.0000 0.0000 0.0000  4 Be 2.54, 4 Li 2.55
Li: 0.5000 0.5000 0.2351  4 Li 2.55, 4 Fe 2.73
Be: 0.0000 0.0000 0.7142  4 Be 2.16, 4 Fe 2.27
Be: 0.5000 0.5000 0.8284  4 Be 2.16
Fe: 0.0000 0.0000 0.4320  8 Fe 2.39-2.55
Fe: 0.5000 0.5000 0.5821  4 Be 2.27, 4 Fe 2.39